Here is an optimized crystal structure of Sr2MgCu3Sb4 from Alexandria. Energies are from GGA-PBE.

POSCAR file:
```
Sr2MgCu3Sb4
1.0
-2.994 -2.826 -2.163
2.632 0.145 -3.832
5.784 -8.914 3.637
Sb Mg Cu Sr
4 1 3 2
Cartesian
0.000 0.000 0.000
-0.181 -1.341 -2.998
2.224 -7.148 1.258
3.379 -3.106 -0.619
2.711 -5.798 -1.179
2.044 -1.049 -1.459
2.892 -4.457 1.818
3.560 -9.206 2.098
5.713 -6.704 0.849
-0.110 -3.550 -0.210
```

Summary:
Uncorrected energy: -3.87 eV per atom
N(E_F): 1.747 states/eV/f.u.
ΔE_f (raw): -492 meV/atom